# CrPbNO2 PBE+U optimized geometry
data_CrPbNO2
_space_group_name_H-M_alt 'P 1'
_space_group_IT_number 1
_space_group_name_Hall 'P 1'
_cell_length_a 4.016
_cell_length_b 4.016
_cell_length_c 3.818
_cell_angle_alpha 90.00
_cell_angle_beta 90.00
_cell_angle_gamma 90.00
loop_
_atom_site_label
_atom_site_type_symbol
_atom_site_fract_x
_atom_site_fract_y
_atom_site_fract_z
O1 O 0.500 0.000 0.000
O2 O 0.000 0.500 0.000
Pb1 Pb 0.500 0.500 0.500
N1 N 0.000 0.000 0.500
Cr1 Cr 0.000 0.000 0.000
# Total energy ... -6.437 eV/atom
# Fermi-level density of states ... 0.45 states/eV/atom